# TaInSe2

TaInSe2 after structural relaxation (PBE-GGA, the Alexandria database). Values from VASP.

Quantum ESPRESSO input file:
```
&SYSTEM
  ibrav = 0, nat = 4, ntyp = 3
/
ATOMIC_SPECIES
Se 78.96 Se.upf
Ta 180.95 Ta.upf
In 114.82 In.upf
CELL_PARAMETERS angstrom
-2.2076 1.8283 -1.8928
-0.5726 -3.3406 0.5579
-4.9391 2.1566 7.8434
ATOMIC_POSITIONS angstrom
Se -5.1244 0.1319 6.1040
Se -2.4949 0.4687 0.2458
Ta -4.8856 2.1332 7.7586
In -3.5182 -0.5695 3.5533
```

Formation energy without anion corrections   -563.5 meV per atom